# 1
Here is Rb3Sc3GaTe8 after structural relaxation from the Alexandria database. Energies are from PBE.

E_form (uncorrected) (eV/atom): -0.981
Volume (A^3/atom): 35.9
Theoretical density (g/cm3): 4.6

CIF file:
```
data_Rb3Sc3GaTe8
_cell_length_a 14.572
_cell_length_b 8.385
_cell_length_c 10.074
_cell_angle_alpha 90.00
_cell_angle_beta 118.91
_cell_angle_gamma 90.00
_symmetry_space_group_name_H-M 'C 1 2/m 1'
_symmetry_Int_Tables_number 12
loop_
_symmetry_equiv_pos_as_xyz
'x,y,z'
'-x,-y,-z'
'-x,y,-z'
'x,-y,z'
'x+1/2,y+1/2,z'
'-x+1/2,-y+1/2,-z'
'-x+1/2,y+1/2,-z'
'x+1/2,-y+1/2,z'
loop_
_atom_site_label
_atom_site_type_symbol
_atom_site_fract_x
_atom_site_fract_y
_atom_site_fract_z
Rb1 Rb 0.000 0.000 0.000
Rb2 Rb 0.250 0.250 0.000
Sc1 Sc 0.000 0.500 0.500
Sc2 Sc 0.250 0.250 0.500
Ga1 Ga 0.000 0.000 0.500
Te1 Te 0.022 0.251 0.313
Te2 Te 0.230 0.000 0.687
Te3 Te 0.231 0.500 0.692
```

---

# 2
Here is Li2Be2Ni5B after structural relaxation from the Alexandria database. Energies are from PBE.

Volume (A^3/atom): 10.1
Formation energy from the elements (kJ/mol of formula units): -178.5
Theoretical density (g/cm3): 5.6

CIF file:
```
data_Li2Be2Ni5B
_cell_length_a 8.882
_cell_length_b 8.882
_cell_length_c 2.549
_cell_angle_alpha 90.00
_cell_angle_beta 90.00
_cell_angle_gamma 90.00
_symmetry_space_group_name_H-M 'P 4/m b m'
_symmetry_Int_Tables_number 127
_symmetry_space_group_name_Hall '-P 4 2ab'
loop_
_atom_site_label
_atom_site_type_symbol
_atom_site_fract_x
_atom_site_fract_y
_atom_site_fract_z
Li1 Li 0.174 0.326 0.000
Be1 Be 0.134 0.634 0.000
Ni1 Ni 0.000 0.500 0.500
Ni2 Ni 0.053 0.813 0.500
B1 B 0.000 0.000 0.000
```

---

# 3
Here is SrLi2ZnCu after structural relaxation from the Alexandria database. Energies are from PBE.

Volume (A^3/atom): 23.1
Excess energy over the best structure of this formula in the dataset (meV/atom): 45
Formation energy from the elements (kJ/mol of formula units): 16.8
Theoretical density (g/cm3): 3.3

CIF file:
```
data_SrLi2ZnCu
_cell_length_a 4.922
_cell_length_b 4.922
_cell_length_c 4.762
_cell_angle_alpha 90.00
_cell_angle_beta 90.00
_cell_angle_gamma 90.00
_symmetry_space_group_name_H-M 'P 4/m m m'
_symmetry_Int_Tables_number 123
_symmetry_space_group_name_Hall '-P 4 2'
loop_
_atom_site_label
_atom_site_type_symbol
_atom_site_fract_x
_atom_site_fract_y
_atom_site_fract_z
Sr1 Sr 0.000 0.000 0.000
Li1 Li 0.000 0.500 0.500
Zn1 Zn 0.500 0.500 0.500
Cu1 Cu 0.500 0.500 0.000
```

---

# 4
Here is KV2Cu after structural relaxation from the Alexandria database. Energies are from PBE.

Volume (A^3/atom): 20.2
Excess energy over the best structure of this formula in the dataset (meV/atom): 141
Formation energy from the elements (kJ/mol of formula units): 572.0
Theoretical density (g/cm3): 4.2

CIF file:
```
data_KV2Cu
_cell_length_a 6.865
_cell_length_b 6.865
_cell_length_c 6.865
_cell_angle_alpha 90.00
_cell_angle_beta 90.00
_cell_angle_gamma 90.00
_symmetry_space_group_name_H-M 'F m -3 m'
_symmetry_Int_Tables_number 225
_symmetry_space_group_name_Hall '-F 4 2 3'
loop_
_atom_site_label
_atom_site_type_symbol
_atom_site_fract_x
_atom_site_fract_y
_atom_site_fract_z
K1 K 0.000 0.000 0.000
V1 V 0.250 0.250 0.250
Cu1 Cu 0.000 0.000 0.500
```

---

# 5
Here is LaHgNO2 after structural relaxation from the Alexandria database. Energies are from PBE.

E_form (uncorrected) (eV/atom): -0.506
Volume (A^3/atom): 15.0
Theoretical density (g/cm3): 8.5

CIF file:
```
data_LaHgNO2
_cell_length_a 4.221
_cell_length_b 4.221
_cell_length_c 4.207
_cell_angle_alpha 90.00
_cell_angle_beta 90.00
_cell_angle_gamma 90.00
_symmetry_space_group_name_H-M 'P 4/m m m'
_symmetry_Int_Tables_number 123
_symmetry_space_group_name_Hall '-P 4 2'
loop_
_atom_site_label
_atom_site_type_symbol
_atom_site_fract_x
_atom_site_fract_y
_atom_site_fract_z
La1 La 0.000 0.000 0.000
Hg1 Hg 0.500 0.500 0.500
N1 N 0.500 0.500 0.000
O1 O 0.000 0.500 0.500
```

---

# 6
Here is CeCoSi2 after structural relaxation from the Alexandria database. Energies are from PBE.

E_form (uncorrected) (eV/atom): -0.756
Volume (A^3/atom): 16.9
Theoretical density (g/cm3): 6.3

CIF file:
```
data_CeCoSi2
_cell_length_a 3.9006
_cell_length_b 3.9006
_cell_length_c 15.3879
_cell_angle_alpha 90.00
_cell_angle_beta 90.00
_cell_angle_gamma 120.00
_symmetry_space_group_name_H-M 'R -3 m'
_symmetry_Int_Tables_number 166
_symmetry_space_group_name_Hall '-R 3 2"'
loop_
_atom_site_label
_atom_site_type_symbol
_atom_site_fract_x
_atom_site_fract_y
_atom_site_fract_z
Ce1 Ce 0.0000 0.0000 0.0000
Co1 Co 0.0000 0.0000 0.5000
Si1 Si 0.0000 0.0000 0.2073
```

---

# 7
Here is PBr after structural relaxation from the Alexandria database. Energies are from PBE.

E_form (uncorrected) (eV/atom): 0.186
Volume (A^3/atom): 42.6
Excess energy over the best structure of this formula in the dataset (meV/atom): 316
Theoretical density (g/cm3): 2.2

CIF file:
```
data_PBr
_cell_length_a 7.940
_cell_length_b 9.393
_cell_length_c 18.290
_cell_angle_alpha 90.00
_cell_angle_beta 90.00
_cell_angle_gamma 90.00
_symmetry_space_group_name_H-M 'F d d d'
_symmetry_Int_Tables_number 70
loop_
_symmetry_equiv_pos_as_xyz
'x,y,z'
'-x,-y,-z'
'-x+1/4,-y+1/4,z'
'x+1/4,y+1/4,-z'
'x,-y+1/4,-z+1/4'
'-x,y+1/4,z+1/4'
'-x+1/4,y,-z+1/4'
'x+1/4,-y,z+1/4'
'x,y+1/2,z+1/2'
'-x,-y+1/2,-z+1/2'
'-x+1/4,-y+3/4,z+1/2'
'x+1/4,y+3/4,-z+1/2'
'x,-y+3/4,-z+3/4'
'-x,y+3/4,z+3/4'
'-x+1/4,y+1/2,-z+3/4'
'x+1/4,-y+1/2,z+3/4'
'x+1/2,y,z+1/2'
'-x+1/2,-y,-z+1/2'
'-x+3/4,-y+1/4,z+1/2'
'x+3/4,y+1/4,-z+1/2'
'x+1/2,-y+1/4,-z+3/4'
'-x+1/2,y+1/4,z+3/4'
'-x+3/4,y,-z+3/4'
'x+3/4,-y,z+3/4'
'x+1/2,y+1/2,z'
'-x+1/2,-y+1/2,-z'
'-x+3/4,-y+3/4,z'
'x+3/4,y+3/4,-z'
'x+1/2,-y+3/4,-z+1/4'
'-x+1/2,y+3/4,z+1/4'
'-x+3/4,y+1/2,-z+1/4'
'x+3/4,-y+1/2,z+1/4'
loop_
_atom_site_label
_atom_site_type_symbol
_atom_site_fract_x
_atom_site_fract_y
_atom_site_fract_z
P1 P 0.003 0.375 0.375
Br1 Br 0.125 0.125 0.375
```

---

# 8
Here is Li3Dy2BiSe6 after structural relaxation from the Alexandria database. Energies are from PBE.

E_form (uncorrected) (eV/atom): -1.370
Volume (A^3/atom): 23.8
Theoretical density (g/cm3): 6.0

CIF file:
```
data_Li3Dy2BiSe6
_cell_length_a 7.102
_cell_length_b 12.304
_cell_length_c 6.945
_cell_angle_alpha 90.00
_cell_angle_beta 109.97
_cell_angle_gamma 90.00
_symmetry_space_group_name_H-M 'C 1 2/m 1'
_symmetry_Int_Tables_number 12
loop_
_symmetry_equiv_pos_as_xyz
'x,y,z'
'-x,-y,-z'
'-x,y,-z'
'x,-y,z'
'x+1/2,y+1/2,z'
'-x+1/2,-y+1/2,-z'
'-x+1/2,y+1/2,-z'
'x+1/2,-y+1/2,z'
loop_
_atom_site_label
_atom_site_type_symbol
_atom_site_fract_x
_atom_site_fract_y
_atom_site_fract_z
Li1 Li 0.000 0.000 0.000
Li2 Li 0.000 0.340 0.000
Dy1 Dy 0.000 0.167 0.500
Bi1 Bi 0.000 0.500 0.500
Se1 Se 0.244 0.170 0.244
Se2 Se 0.245 0.000 0.756
```

---

E readings, ordered: -129.54, -97.43, -10.70, -70.01, -26.00, -80.73, -107.38, -112.35 eV per cell